1.
Entry from Alexandria via LeMat-Bulk: HfHgAs2Se after structural relaxation (PBE).

Lattice parameters (Å, degrees): 5.2329 5.2329 5.1177 90.00 90.00 90.00
Fractional positions:
As  0.5000  0.0000  0.0000
As  0.0000  0.5000  0.0000
Hf  0.0000  0.0000  0.0000
Hg  0.5000  0.5000  0.5000
Se  0.0000  0.0000  0.5000

Total magnetic moment, μB/f.u.: 0.0
Offset from the most stable computed form, eV/atom: 0.000
Space group: P4/mmm (123)
Mass density, kg/m³: 7203
Fermi-level density of states, states/eV/cell: 5.46
Uncorrected formation energy, kJ per mole of atoms: 2.0



2.
Entry from Alexandria via LeMat-Bulk: Al2GeI after structural relaxation (PBE).

Lattice parameters (Å, degrees): 5.0329 5.0329 5.0329 60.00 60.00 60.00
Fractional positions:
Al  0.2500  0.2500  0.2500
Al  0.7500  0.7500  0.7500
Ge  0.0000  0.0000  0.0000
I  0.5000  0.5000  0.5000

Total magnetic moment, μB/f.u.: 0.0
Offset from the most stable computed form, eV/atom: 0.251
Space group: Fm-3m (225)
Mass density, kg/m³: 4670
Fermi-level density of states, states/eV/cell: 3.34
Uncorrected formation energy, kJ per mole of atoms: 46.0



3.
Entry from Alexandria via LeMat-Bulk: Np2Cd2O7 after structural relaxation (PBE).

Lattice parameters (Å, degrees): 7.7939 7.7939 7.7939 60.00 60.00 60.00
Fractional positions:
O  0.7500  0.7500  0.7500
O  0.7998  0.7998  0.2002
O  0.0498  0.4502  0.0498
O  0.7998  0.2002  0.2002
O  0.7998  0.2002  0.7998
O  0.2002  0.7998  0.7998
O  0.5000  0.5000  0.5000
O  0.2002  0.2002  0.7998
O  0.4502  0.0498  0.0498
O  0.2002  0.7998  0.2002
O  0.4502  0.4502  0.0498
O  0.0498  0.0498  0.4502
O  0.4502  0.0498  0.4502
O  0.0498  0.4502  0.4502
Cd  0.6250  0.6250  0.1250
Cd  0.6250  0.6250  0.6250
Cd  0.1250  0.6250  0.6250
Cd  0.6250  0.1250  0.6250
Np  0.1250  0.1250  0.6250
Np  0.1250  0.1250  0.1250
Np  0.6250  0.1250  0.1250
Np  0.1250  0.6250  0.1250

Total magnetic moment, μB/f.u.: 3.9
Space group: Fd-3m (227)
Mass density, kg/m³: 8044
Fermi-level density of states, states/eV/cell: 21.10
Uncorrected formation energy, kJ per mole of atoms: -209.1



4.
Entry from Alexandria via LeMat-Bulk: BaAcF6 after structural relaxation (PBE).

Lattice parameters (Å, degrees): 4.4043 4.4043 6.9738 83.99 83.99 83.01
Fractional positions:
F  0.0332  0.5447  0.3089
F  0.9668  0.4553  0.6911
F  0.4013  0.4013  0.9093
F  0.5447  0.0332  0.3089
F  0.5987  0.5987  0.0907
F  0.4553  0.9668  0.6911
Ba  0.0000  0.0000  0.0000
Ac  0.5000  0.5000  0.5000

Total magnetic moment, μB/f.u.: 1.0
Space group: C2/m (12)
Mass density, kg/m³: 5974
Uncorrected formation energy, kJ per mole of atoms: -336.9



Q: What is the mass density in the second record?
A: 4670 kg/m³



Q: Number 1 is which compound?
A: HfHgAs2Se